# 1
# ZrZn2W, optimized geometry, DFT PBE
# size of the total moment = 0.00 μB/atom
# final energy = -23.413 eV/f.u.
# formation enthalpy at 0 K = 0.159 eV/atom
data_ZrZn2W
_chemical_formula_sum 'Zr1 Zn2 W1'
_cell_length_a 5.202
_cell_length_b 5.202
_cell_length_c 5.202
_cell_angle_alpha 135.77
_cell_angle_beta 135.77
_cell_angle_gamma 64.34
_symmetry_space_group_name_H-M 'P 1'
_symmetry_Int_Tables_number 1
loop_
_symmetry_equiv_pos_as_xyz
'x,y,z'
loop_
_atom_site_label
_atom_site_fract_x
_atom_site_fract_y
_atom_site_fract_z
Zn1 0.250 0.750 0.500
W1 0.750 0.250 0.500
Zn2 0.000 0.000 0.000
Zr1 0.500 0.500 0.000


# 2
# ZrZn2W, optimized geometry, DFT PBE
# size of the total moment = 0.00 μB/atom
# final energy = -23.640 eV/f.u.
# formation enthalpy at 0 K = 0.102 eV/atom
data_ZrZn2W
_chemical_formula_sum 'Zr1 Zn2 W1'
_cell_length_a 2.811
_cell_length_b 2.811
_cell_length_c 8.473
_cell_angle_alpha 90.00
_cell_angle_beta 90.00
_cell_angle_gamma 90.00
_symmetry_space_group_name_H-M 'P 1'
_symmetry_Int_Tables_number 1
loop_
_symmetry_equiv_pos_as_xyz
'x,y,z'
loop_
_atom_site_label
_atom_site_fract_x
_atom_site_fract_y
_atom_site_fract_z
Zn1 0.000 0.000 0.008
Zr1 0.000 0.000 0.491
Zn2 0.500 0.500 0.227
W1 0.500 0.500 0.774


# 3
# ZrZnW, optimized geometry, DFT PBE
# size of the total moment = 0.00 μB/atom
# final energy = -22.230 eV/f.u.
# formation enthalpy at 0 K = 0.182 eV/atom
data_ZrZnW
_chemical_formula_sum 'Zr1 Zn1 W1'
_cell_length_a 5.239
_cell_length_b 5.239
_cell_length_c 5.239
_cell_angle_alpha 146.45
_cell_angle_beta 137.61
_cell_angle_gamma 55.12
_symmetry_space_group_name_H-M 'P 1'
_symmetry_Int_Tables_number 1
loop_
_symmetry_equiv_pos_as_xyz
'x,y,z'
loop_
_atom_site_label
_atom_site_fract_x
_atom_site_fract_y
_atom_site_fract_z
W1 0.011 0.011 0.000
Zr1 0.335 0.335 0.000
Zn1 0.654 0.654 0.000


# 4
# ZrZn2W, optimized geometry, DFT PBE
# size of the total moment = 0.00 μB/atom
# final energy = -23.148 eV/f.u.
# formation enthalpy at 0 K = 0.225 eV/atom
data_ZrZn2W
_chemical_formula_sum 'Zr1 Zn2 W1'
_cell_length_a 9.793
_cell_length_b 9.793
_cell_length_c 9.793
_cell_angle_alpha 16.86
_cell_angle_beta 16.86
_cell_angle_gamma 16.86
_symmetry_space_group_name_H-M 'P 1'
_symmetry_Int_Tables_number 1
loop_
_symmetry_equiv_pos_as_xyz
'x,y,z'
loop_
_atom_site_label
_atom_site_fract_x
_atom_site_fract_y
_atom_site_fract_z
Zn1 0.256 0.256 0.256
Zn2 0.000 0.000 0.000
W1 0.743 0.743 0.743
Zr1 0.501 0.501 0.501


# 5
# ZrZn2W, optimized geometry, DFT PBE
# size of the total moment = 0.00 μB/atom
# final energy = -23.256 eV/f.u.
# formation enthalpy at 0 K = 0.198 eV/atom
data_ZrZn2W
_chemical_formula_sum 'Zr1 Zn2 W1'
_cell_length_a 4.543
_cell_length_b 4.543
_cell_length_c 4.543
_cell_angle_alpha 60.00
_cell_angle_beta 60.00
_cell_angle_gamma 60.00
_symmetry_space_group_name_H-M 'P 1'
_symmetry_Int_Tables_number 1
loop_
_symmetry_equiv_pos_as_xyz
'x,y,z'
loop_
_atom_site_label
_atom_site_fract_x
_atom_site_fract_y
_atom_site_fract_z
Zn1 0.750 0.750 0.750
Zn2 0.250 0.250 0.250
Zr1 0.000 0.000 0.000
W1 0.500 0.500 0.500


# 6
# ZrZnW2, optimized geometry, DFT PBE
# size of the total moment = 0.00 μB/atom
# final energy = -34.383 eV/f.u.
# formation enthalpy at 0 K = 0.336 eV/atom
data_ZrZnW2
_chemical_formula_sum 'Zr1 Zn1 W2'
_cell_length_a 10.084
_cell_length_b 10.084
_cell_length_c 10.084
_cell_angle_alpha 16.20
_cell_angle_beta 16.20
_cell_angle_gamma 16.20
_symmetry_space_group_name_H-M 'P 1'
_symmetry_Int_Tables_number 1
loop_
_symmetry_equiv_pos_as_xyz
'x,y,z'
loop_
_atom_site_label
_atom_site_fract_x
_atom_site_fract_y
_atom_site_fract_z
W1 0.248 0.248 0.248
Zr1 0.752 0.752 0.752
Zn1 0.504 0.504 0.504
W2 0.996 0.996 0.996


# 7
# ZrZnW2, optimized geometry, DFT PBE
# size of the total moment = 0.00 μB/atom
# final energy = -35.559 eV/f.u.
# formation enthalpy at 0 K = 0.042 eV/atom
data_ZrZnW2
_chemical_formula_sum 'Zr1 Zn1 W2'
_cell_length_a 3.274
_cell_length_b 3.274
_cell_length_c 6.440
_cell_angle_alpha 90.00
_cell_angle_beta 90.00
_cell_angle_gamma 90.00
_symmetry_space_group_name_H-M 'P 1'
_symmetry_Int_Tables_number 1
loop_
_symmetry_equiv_pos_as_xyz
'x,y,z'
loop_
_atom_site_label
_atom_site_fract_x
_atom_site_fract_y
_atom_site_fract_z
W1 0.500 0.500 0.244
W2 0.000 0.000 0.024
Zn1 0.000 0.000 0.478
Zr1 0.500 0.500 0.754


# 8
# ZrZnW2, optimized geometry, DFT PBE
# size of the total moment = 0.00 μB/atom
# final energy = -34.433 eV/f.u.
# formation enthalpy at 0 K = 0.324 eV/atom
data_ZrZnW2
_chemical_formula_sum 'Zr1 Zn1 W2'
_cell_length_a 2.754
_cell_length_b 2.754
_cell_length_c 9.019
_cell_angle_alpha 90.00
_cell_angle_beta 90.00
_cell_angle_gamma 90.00
_symmetry_space_group_name_H-M 'P 1'
_symmetry_Int_Tables_number 1
loop_
_symmetry_equiv_pos_as_xyz
'x,y,z'
loop_
_atom_site_label
_atom_site_fract_x
_atom_site_fract_y
_atom_site_fract_z
W1 0.000 0.000 0.477
W2 0.000 0.000 0.023
Zn1 0.500 0.500 0.250
Zr1 0.500 0.500 0.750


# 9
# ZrZnW2, optimized geometry, DFT PBE
# size of the total moment = 0.00 μB/atom
# final energy = -32.365 eV/f.u.
# formation enthalpy at 0 K = 0.841 eV/atom
data_ZrZnW2
_chemical_formula_sum 'Zr2 Zn2 W4'
_cell_length_a 7.505
_cell_length_b 7.505
_cell_length_c 5.918
_cell_angle_alpha 50.65
_cell_angle_beta 50.65
_cell_angle_gamma 90.00
_symmetry_space_group_name_H-M 'P 1'
_symmetry_Int_Tables_number 1
loop_
_symmetry_equiv_pos_as_xyz
'x,y,z'
loop_
_atom_site_label
_atom_site_fract_x
_atom_site_fract_y
_atom_site_fract_z
W1 0.160 0.625 0.250
W2 0.375 0.410 0.750
Zn1 0.500 0.500 0.000
Zn2 0.250 0.750 0.500
Zr1 0.000 0.000 0.000
W3 0.590 0.125 0.250
Zr2 0.750 0.250 0.500
W4 0.875 0.840 0.750


# 10
# ZrZnW4, optimized geometry, DFT PBE
# size of the total moment = 0.00 μB/atom
# final energy = -59.873 eV/f.u.
# formation enthalpy at 0 K = 0.294 eV/atom
data_ZrZnW4
_chemical_formula_sum 'Zr1 Zn1 W4'
_cell_length_a 5.347
_cell_length_b 5.347
_cell_length_c 5.347
_cell_angle_alpha 60.00
_cell_angle_beta 60.00
_cell_angle_gamma 60.00
_symmetry_space_group_name_H-M 'P 1'
_symmetry_Int_Tables_number 1
loop_
_symmetry_equiv_pos_as_xyz
'x,y,z'
loop_
_atom_site_label
_atom_site_fract_x
_atom_site_fract_y
_atom_site_fract_z
W1 0.376 0.872 0.376
W2 0.376 0.376 0.376
Zn1 0.750 0.750 0.750
W3 0.872 0.376 0.376
Zr1 0.000 0.000 0.000
W4 0.376 0.376 0.872


# 11
# ZrZn2W, optimized geometry, DFT PBE
# size of the total moment = 0.00 μB/atom
# final energy = -21.747 eV/f.u.
# formation enthalpy at 0 K = 0.576 eV/atom
data_ZrZn2W
_chemical_formula_sum 'Zr2 Zn4 W2'
_cell_length_a 3.896
_cell_length_b 3.896
_cell_length_c 10.257
_cell_angle_alpha 79.05
_cell_angle_beta 79.05
_cell_angle_gamma 90.00
_symmetry_space_group_name_H-M 'P 1'
_symmetry_Int_Tables_number 1
loop_
_symmetry_equiv_pos_as_xyz
'x,y,z'
loop_
_atom_site_label
_atom_site_fract_x
_atom_site_fract_y
_atom_site_fract_z
Zr1 0.250 0.750 0.500
Zn1 0.375 0.337 0.750
W1 0.750 0.250 0.500
Zn2 0.087 0.625 0.250
W2 0.000 0.000 0.000
Zn3 0.663 0.125 0.250
Zr2 0.500 0.500 0.000
Zn4 0.875 0.913 0.750


# 12
# ZrZn2W, optimized geometry, DFT PBE
# size of the total moment = 0.00 μB/atom
# final energy = -23.480 eV/f.u.
# formation enthalpy at 0 K = 0.142 eV/atom
data_ZrZn2W
_chemical_formula_sum 'Zr1 Zn2 W1'
_cell_length_a 5.445
_cell_length_b 5.445
_cell_length_c 5.445
_cell_angle_alpha 148.06
_cell_angle_beta 127.63
_cell_angle_gamma 62.66
_symmetry_space_group_name_H-M 'P 1'
_symmetry_Int_Tables_number 1
loop_
_symmetry_equiv_pos_as_xyz
'x,y,z'
loop_
_atom_site_label
_atom_site_fract_x
_atom_site_fract_y
_atom_site_fract_z
Zn1 0.992 0.992 0.000
Zr1 0.501 0.501 0.000
Zn2 0.769 0.269 0.500
W1 0.238 0.738 0.500


# 13
# ZrZn2W, optimized geometry, DFT PBE
# size of the total moment = 0.00 μB/atom
# final energy = -23.151 eV/f.u.
# formation enthalpy at 0 K = 0.225 eV/atom
data_ZrZn2W
_chemical_formula_sum 'Zr1 Zn2 W1'
_cell_length_a 2.858
_cell_length_b 5.069
_cell_length_c 5.813
_cell_angle_alpha 54.88
_cell_angle_beta 90.00
_cell_angle_gamma 90.00
_symmetry_space_group_name_H-M 'P 1'
_symmetry_Int_Tables_number 1
loop_
_symmetry_equiv_pos_as_xyz
'x,y,z'
loop_
_atom_site_label
_atom_site_fract_x
_atom_site_fract_y
_atom_site_fract_z
W1 0.000 0.000 0.500
Zn1 0.000 0.000 0.000
Zr1 0.500 0.500 0.500
Zn2 0.500 0.500 0.000


# 14
# ZrZnW, optimized geometry, DFT PBE
# size of the total moment = 0.00 μB/atom
# final energy = -22.291 eV/f.u.
# formation enthalpy at 0 K = 0.161 eV/atom
data_ZrZnW
_chemical_formula_sum 'Zr1 Zn1 W1'
_cell_length_a 6.958
_cell_length_b 6.958
_cell_length_c 6.958
_cell_angle_alpha 156.78
_cell_angle_beta 156.78
_cell_angle_gamma 33.06
_symmetry_space_group_name_H-M 'P 1'
_symmetry_Int_Tables_number 1
loop_
_symmetry_equiv_pos_as_xyz
'x,y,z'
loop_
_atom_site_label
_atom_site_fract_x
_atom_site_fract_y
_atom_site_fract_z
Zr1 0.671 0.671 0.000
W1 0.990 0.990 0.000
Zn1 0.340 0.340 0.000


# 15
# ZrZnW2, optimized geometry, DFT PBE
# size of the total moment = 0.00 μB/atom
# final energy = -34.582 eV/f.u.
# formation enthalpy at 0 K = 0.287 eV/atom
data_ZrZnW2
_chemical_formula_sum 'Zr1 Zn1 W2'
_cell_length_a 5.331
_cell_length_b 5.331
_cell_length_c 5.331
_cell_angle_alpha 137.05
_cell_angle_beta 137.05
_cell_angle_gamma 62.36
_symmetry_space_group_name_H-M 'P 1'
_symmetry_Int_Tables_number 1
loop_
_symmetry_equiv_pos_as_xyz
'x,y,z'
loop_
_atom_site_label
_atom_site_fract_x
_atom_site_fract_y
_atom_site_fract_z
Zr1 0.750 0.250 0.500
W1 0.000 0.000 0.000
W2 0.500 0.500 0.000
Zn1 0.250 0.750 0.500


# 16
# Zr3ZnW, optimized geometry, DFT PBE
# size of the total moment = 0.00 μB/atom
# final energy = -35.420 eV/f.u.
# formation enthalpy at 0 K = 0.890 eV/atom
data_Zr3ZnW
_chemical_formula_sum 'Zr3 Zn1 W1'
_cell_length_a 5.091
_cell_length_b 5.091
_cell_length_c 5.091
_cell_angle_alpha 90.00
_cell_angle_beta 90.00
_cell_angle_gamma 90.00
_symmetry_space_group_name_H-M 'P 1'
_symmetry_Int_Tables_number 1
loop_
_symmetry_equiv_pos_as_xyz
'x,y,z'
loop_
_atom_site_label
_atom_site_fract_x
_atom_site_fract_y
_atom_site_fract_z
Zr1 0.000 0.000 0.500
Zr2 0.000 0.500 0.000
Zr3 0.500 0.000 0.000
Zn1 0.500 0.500 0.500
W1 0.000 0.000 0.000


# 17
# ZrZnW2, optimized geometry, DFT PBE
# size of the total moment = 0.00 μB/atom
# final energy = -33.981 eV/f.u.
# formation enthalpy at 0 K = 0.437 eV/atom
data_ZrZnW2
_chemical_formula_sum 'Zr1 Zn1 W2'
_cell_length_a 9.982
_cell_length_b 9.982
_cell_length_c 9.982
_cell_angle_alpha 16.43
_cell_angle_beta 16.43
_cell_angle_gamma 16.43
_symmetry_space_group_name_H-M 'P 1'
_symmetry_Int_Tables_number 1
loop_
_symmetry_equiv_pos_as_xyz
'x,y,z'
loop_
_atom_site_label
_atom_site_fract_x
_atom_site_fract_y
_atom_site_fract_z
Zr1 0.750 0.750 0.750
Zn1 0.250 0.250 0.250
W1 0.506 0.506 0.506
W2 0.994 0.994 0.994


# 18
# ZrZnW2, optimized geometry, DFT PBE
# size of the total moment = 0.00 μB/atom
# final energy = -35.199 eV/f.u.
# formation enthalpy at 0 K = 0.132 eV/atom
data_ZrZnW2
_chemical_formula_sum 'Zr1 Zn1 W2'
_cell_length_a 2.785
_cell_length_b 2.785
_cell_length_c 9.304
_cell_angle_alpha 90.00
_cell_angle_beta 90.00
_cell_angle_gamma 107.87
_symmetry_space_group_name_H-M 'P 1'
_symmetry_Int_Tables_number 1
loop_
_symmetry_equiv_pos_as_xyz
'x,y,z'
loop_
_atom_site_label
_atom_site_fract_x
_atom_site_fract_y
_atom_site_fract_z
W1 0.000 0.000 0.015
Zn1 0.000 0.000 0.486
W2 0.500 0.500 0.249
Zr1 0.500 0.500 0.751


# 19
# ZrZnW2, optimized geometry, DFT PBE
# size of the total moment = 0.00 μB/atom
# final energy = -34.685 eV/f.u.
# formation enthalpy at 0 K = 0.261 eV/atom
data_ZrZnW2
_chemical_formula_sum 'Zr1 Zn1 W2'
_cell_length_a 2.732
_cell_length_b 4.215
_cell_length_c 6.023
_cell_angle_alpha 90.00
_cell_angle_beta 90.00
_cell_angle_gamma 90.00
_symmetry_space_group_name_H-M 'P 1'
_symmetry_Int_Tables_number 1
loop_
_symmetry_equiv_pos_as_xyz
'x,y,z'
loop_
_atom_site_label
_atom_site_fract_x
_atom_site_fract_y
_atom_site_fract_z
Zr1 0.500 0.500 0.744
W1 0.000 0.000 0.022
W2 0.500 0.500 0.247
Zn1 0.000 0.000 0.488


# 20
# ZrZnW, optimized geometry, DFT PBE
# size of the total moment = 0.00 μB/atom
# final energy = -23.120 eV/f.u.
# formation enthalpy at 0 K = -0.115 eV/atom
data_ZrZnW
_chemical_formula_sum 'Zr6 Zn6 W6'
_cell_length_a 5.361
_cell_length_b 5.361
_cell_length_c 13.340
_cell_angle_alpha 78.41
_cell_angle_beta 78.41
_cell_angle_gamma 60.00
_symmetry_space_group_name_H-M 'P 1'
_symmetry_Int_Tables_number 1
loop_
_symmetry_equiv_pos_as_xyz
'x,y,z'
loop_
_atom_site_label
_atom_site_fract_x
_atom_site_fract_y
_atom_site_fract_z
Zn1 0.727 0.210 0.335
Zn2 0.273 0.273 0.665
W1 0.611 0.611 0.168
Zr1 0.264 0.264 0.208
W2 0.000 0.500 0.000
W3 0.500 0.000 0.000
Zn3 0.273 0.790 0.665
Zn4 0.727 0.727 0.335
Zr2 0.179 0.179 0.464
Zr3 0.958 0.958 0.126
Zn5 0.210 0.727 0.335
Zr4 0.821 0.821 0.536
W4 0.500 0.500 0.500
W5 0.389 0.389 0.832
Zn6 0.790 0.273 0.665
Zr5 0.736 0.736 0.792
Zr6 0.042 0.042 0.874
W6 0.500 0.500 0.000